Here is a relaxed Tc2Mo4W5 crystal from Alexandria. Energies are from GGA-PBE.

Geometry as extended XYZ:
```
11
Lattice="8.626 -2.115 0.000 8.626 2.115 0.000 -0.016 0.000 5.371" Properties=species:S:1:pos:R:3 pbc="T T T"
Tc 1.302 0.000 0.780
Tc 15.933 0.000 4.591
Mo 1.118 0.000 3.514
Mo 6.361 0.000 2.807
Mo 10.874 0.000 2.565
Mo 16.117 0.000 1.857
W 3.572 0.000 4.533
W 3.741 0.000 1.797
W 8.626 0.000 0.000
W 13.494 0.000 3.575
W 13.662 0.000 0.838
```

Results
For the density of states at the Fermi level, the calculation gives 10.570 states/eV/f.u. The calculation puts the total magnetic moment at 0.00 μB per formula unit. As for the space group: C2/m (12). Its formation energy is 707 meV/atom.

Here is a relaxed TcMoW2 crystal from Alexandria. Energies are from GGA-PBE.

Geometry as extended XYZ:
```
4
Lattice="-1.945 1.945 4.203 1.945 -1.945 4.203 1.945 1.945 -4.203" Properties=species:S:1:pos:R:3 pbc="T T T"
Tc 0.000 0.000 0.000
Mo 0.000 0.000 4.203
W 1.945 0.000 2.101
W 0.000 1.945 2.101
```

Results
For the density of states at the Fermi level, the calculation gives 4.645 states/eV/f.u. The calculation puts the total magnetic moment at 0.00 μB per formula unit. The energy relative to the lowest polymorph listed for this composition comes out at 298 meV/atom. As for the space group: I4/mmm (139). Its formation energy is 316 meV/atom.

Here is a relaxed TcMo6W12 crystal from Alexandria. Energies are from GGA-PBE.

Geometry as extended XYZ:
```
19
Lattice="5.468 3.157 3.059 -5.468 3.157 3.059 0.000 -6.314 3.059" Properties=species:S:1:pos:R:3 pbc="T T T"
Tc 0.000 0.000 0.000
Mo 0.000 -1.576 2.370
Mo -1.365 0.788 2.370
Mo 1.365 0.788 2.370
Mo -1.365 -0.788 6.808
Mo 1.365 -0.788 6.808
Mo 0.000 1.576 6.808
W -1.431 -3.835 3.059
W -4.037 0.678 3.059
W -2.225 -1.285 4.199
W 1.431 -3.835 3.059
W -2.605 3.157 3.059
W 0.000 -2.569 4.979
W -2.225 1.285 4.979
W 2.225 -1.285 4.199
W 0.000 2.569 4.199
W 4.037 0.678 3.059
W 2.605 3.157 3.059
W 2.225 1.285 4.979
```

Results
For the density of states at the Fermi level, the calculation gives 17.932 states/eV/f.u. The calculation puts the total magnetic moment at 0.00 μB per formula unit. As for the space group: R-3m (166). Its formation energy is 418 meV/atom.

> Which of these has the lowest formation energy?

TcMoW2

> Which value of total magnetic moment does entry 1 give?

0.00 μB per formula unit

> Which of these has the lowest formation energy?

TcMoW2